[1]
A relaxed Hf2Al3Pd crystal. Source: Alexandria, functional GGA-PBEsol.

Output
Electronic total energy = -86.19 eV for the cell shown
DFT formation energy = -642 meV per atom
Fermi-level density of states = 5.636 states/eV/f.u.
Total moment = 0.003 μB per cell

a b c (Å): 5.276 5.276 8.260
angles (deg): 90.00 90.00 120.00
Sites, in units of the cell vectors:
Hf 0.333 0.667 0.068
Hf 0.333 0.667 0.432
Hf 0.667 0.333 0.568
Hf 0.667 0.333 0.932
Al 0.170 0.340 0.750
Al 0.170 0.830 0.750
Al 0.340 0.170 0.250
Al 0.660 0.830 0.750
Al 0.830 0.170 0.250
Al 0.830 0.660 0.250
Pd 0.000 0.000 0.000
Pd 0.000 0.000 0.500

[2]
A relaxed HfAlPt crystal. Source: Alexandria, functional GGA-PBEsol.

Output
Electronic total energy = -74.07 eV for the cell shown
DFT formation energy = -1044 meV per atom
Fermi-level density of states = 0.624 states/eV/f.u.
Total moment = 0.000 μB per cell

a b c (Å): 7.078 7.078 3.541
angles (deg): 90.00 90.00 120.00
Sites, in units of the cell vectors:
Hf 0.000 0.601 0.000
Hf 0.399 0.399 0.000
Hf 0.601 0.000 0.000
Al 0.000 0.260 0.500
Al 0.260 0.000 0.500
Al 0.740 0.740 0.500
Pt 0.000 0.000 0.000
Pt 0.333 0.667 0.500
Pt 0.667 0.333 0.500

[3]
A relaxed Hf2Al2Pt crystal. Source: Alexandria, functional GGA-PBEsol.

Output
Electronic total energy = -79.54 eV for the cell shown
DFT formation energy = -723 meV per atom
Fermi-level density of states = 2.071 states/eV/f.u.
Total moment = 0.000 μB per cell

a b c (Å): 6.403 6.403 4.251
angles (deg): 90.00 90.00 90.00
Sites, in units of the cell vectors:
Hf 0.169 0.331 0.000
Hf 0.331 0.831 0.000
Hf 0.669 0.169 0.000
Hf 0.831 0.669 0.000
Al 0.139 0.639 0.500
Al 0.361 0.139 0.500
Al 0.639 0.861 0.500
Al 0.861 0.361 0.500
Pt 0.000 0.000 0.500
Pt 0.500 0.500 0.500

[4]
A relaxed Hf6Al16Pt7 crystal. Source: Alexandria, functional GGA-PBEsol.

Output
Electronic total energy = -202.78 eV for the cell shown
DFT formation energy = -881 meV per atom
Fermi-level density of states = 9.331 states/eV/f.u.
Total moment = 0.000 μB per cell

a b c (Å): 8.774 8.774 8.774
angles (deg): 60.00 60.00 60.00
Sites, in units of the cell vectors:
Hf 0.181 0.181 0.819
Hf 0.181 0.819 0.181
Hf 0.181 0.819 0.819
Hf 0.819 0.181 0.181
Hf 0.819 0.181 0.819
Hf 0.819 0.819 0.181
Al 0.140 0.620 0.620
Al 0.165 0.165 0.165
Al 0.165 0.165 0.505
Al 0.165 0.505 0.165
Al 0.380 0.380 0.380
Al 0.380 0.380 0.860
Al 0.380 0.860 0.380
Al 0.495 0.835 0.835
Al 0.505 0.165 0.165
Al 0.620 0.140 0.620
Al 0.620 0.620 0.140
Al 0.620 0.620 0.620
Al 0.835 0.495 0.835
Al 0.835 0.835 0.495
Al 0.835 0.835 0.835
Al 0.860 0.380 0.380
Pt 0.000 0.000 0.500
Pt 0.000 0.500 0.000
Pt 0.000 0.500 0.500
Pt 0.500 0.000 0.000
Pt 0.500 0.000 0.500
Pt 0.500 0.500 0.000
Pt 0.500 0.500 0.500

[5]
A relaxed Hf3AlPt crystal. Source: Alexandria, functional GGA-PBEsol.

Output
Polymorph energy (0 for the lowest one) = 0 meV per atom
Electronic total energy = -41.22 eV for the cell shown
DFT formation energy = 268 meV per atom
Fermi-level density of states = 4.574 states/eV/f.u.
Total moment = 0.000 μB per cell

a b c (Å): 4.971 4.971 4.971
angles (deg): 90.00 90.00 90.00
Sites, in units of the cell vectors:
Hf 0.000 0.000 0.500
Hf 0.000 0.500 0.000
Hf 0.500 0.000 0.000
Al 0.500 0.500 0.500
Pt 0.000 0.000 0.000

[6]
A relaxed HfAlPt crystal. Source: Alexandria, functional GGA-PBEsol.

Output
Electronic total energy = -148.26 eV for the cell shown
DFT formation energy = -1050 meV per atom
Fermi-level density of states = 1.538 states/eV/f.u.
Total moment = 0.000 μB per cell

a b c (Å): 7.069 7.069 7.083
angles (deg): 90.00 90.00 120.00
Sites, in units of the cell vectors:
Hf 0.021 0.609 0.250
Hf 0.391 0.412 0.250
Hf 0.412 0.391 0.750
Hf 0.588 0.979 0.250
Hf 0.609 0.021 0.750
Hf 0.979 0.588 0.750
Al 0.000 0.261 0.000
Al 0.000 0.261 0.500
Al 0.261 0.000 0.000
Al 0.261 0.000 0.500
Al 0.739 0.739 0.000
Al 0.739 0.739 0.500
Pt 0.000 0.000 0.250
Pt 0.000 0.000 0.750
Pt 0.333 0.667 0.529
Pt 0.333 0.667 0.971
Pt 0.667 0.333 0.029
Pt 0.667 0.333 0.471

[7]
A relaxed HfAlSn2Pt crystal. Source: Alexandria, functional GGA-PBEsol.

Output
Electronic total energy = -26.69 eV for the cell shown
DFT formation energy = 678 meV per atom
Fermi-level density of states = 3.079 states/eV/f.u.
Total moment = 0.000 μB per cell

a b c (Å): 5.448 5.448 4.864
angles (deg): 90.00 90.00 90.00
Sites, in units of the cell vectors:
Hf 0.000 0.000 0.000
Al 0.500 0.500 0.500
Sn 0.000 0.500 0.000
Sn 0.500 0.000 0.000
Pt 0.000 0.000 0.500

[8]
A relaxed HfAlZnPt2 crystal. Source: Alexandria, functional GGA-PBEsol.

Output
Electronic total energy = -27.07 eV for the cell shown
DFT formation energy = 606 meV per atom
Fermi-level density of states = 7.646 states/eV/f.u.
Total moment = 0.002 μB per cell

a b c (Å): 4.471 4.471 4.935
angles (deg): 90.00 90.00 90.00
Sites, in units of the cell vectors:
Hf 0.000 0.000 0.000
Al 0.000 0.000 0.500
Zn 0.500 0.500 0.000
Pt 0.000 0.500 0.500
Pt 0.500 0.000 0.500

[9]
A relaxed RbHfAl2 crystal. Source: Alexandria, functional GGA-PBEsol.

Output
Electronic total energy = -67.50 eV for the cell shown
DFT formation energy = 709 meV per atom
Fermi-level density of states = 4.501 states/eV/f.u.
Total moment = 0.002 μB per cell

a b c (Å): 7.235 7.235 7.235
angles (deg): 90.00 90.00 90.00
Sites, in units of the cell vectors:
Rb 0.000 0.000 0.000
Rb 0.000 0.500 0.500
Rb 0.500 0.000 0.500
Rb 0.500 0.500 0.000
Hf 0.000 0.000 0.500
Hf 0.000 0.500 0.000
Hf 0.500 0.000 0.000
Hf 0.500 0.500 0.500
Al 0.250 0.250 0.250
Al 0.250 0.250 0.750
Al 0.250 0.750 0.250
Al 0.250 0.750 0.750
Al 0.750 0.250 0.250
Al 0.750 0.250 0.750
Al 0.750 0.750 0.250
Al 0.750 0.750 0.750

[10]
A relaxed HfAlRe3 crystal. Source: Alexandria, functional GGA-PBEsol.

Output
Electronic total energy = -48.17 eV for the cell shown
DFT formation energy = 1285 meV per atom
Fermi-level density of states = 9.174 states/eV/f.u.
Total moment = 0.110 μB per cell

a b c (Å): 4.430 4.430 4.430
angles (deg): 90.00 90.00 90.00
Sites, in units of the cell vectors:
Hf 0.000 0.000 0.000
Al 0.500 0.500 0.500
Re 0.000 0.500 0.500
Re 0.500 0.000 0.500
Re 0.500 0.500 0.000

[11]
A relaxed HfAl3Re crystal. Source: Alexandria, functional GGA-PBEsol.

Output
Electronic total energy = -25.96 eV for the cell shown
DFT formation energy = 2031 meV per atom
Fermi-level density of states = 2.594 states/eV/f.u.
Total moment = 3.058 μB per cell

a b c (Å): 4.920 4.920 4.920
angles (deg): 90.00 90.00 90.00
Sites, in units of the cell vectors:
Hf 0.000 0.000 0.000
Al 0.000 0.000 0.500
Al 0.000 0.500 0.000
Al 0.500 0.000 0.000
Re 0.500 0.500 0.500

[12]
A relaxed HfAlRh crystal. Source: Alexandria, functional GGA-PBEsol.

Output
Electronic total energy = -100.11 eV for the cell shown
DFT formation energy = -765 meV per atom
Fermi-level density of states = 2.121 states/eV/f.u.
Total moment = 0.000 μB per cell

a b c (Å): 8.132 5.229 5.229
angles (deg): 60.63 90.00 90.00
Sites, in units of the cell vectors:
Hf 0.179 0.000 0.000
Hf 0.289 0.336 0.336
Hf 0.711 0.336 0.336
Hf 0.821 0.000 0.000
Al 0.244 0.675 0.675
Al 0.500 0.324 0.840
Al 0.500 0.840 0.324
Al 0.756 0.675 0.675
Rh 0.000 0.008 0.501
Rh 0.000 0.501 0.008
Rh 0.000 0.503 0.503
Rh 0.500 0.839 0.839

[13]
A relaxed HfAl2RuSe crystal. Source: Alexandria, functional GGA-PBEsol.

Output
Electronic total energy = -28.96 eV for the cell shown
Fermi-level density of states = 4.783 states/eV/f.u.
Total moment = 0.000 μB per cell
Formation energy (no corrections) = 0.75 eV per atom

a b c (Å): 4.711 4.711 4.466
angles (deg): 90.00 90.00 90.00
Sites, in units of the cell vectors:
Hf 0.000 0.000 0.000
Al 0.000 0.500 0.500
Al 0.500 0.000 0.500
Ru 0.500 0.500 0.000
Se 0.500 0.500 0.500

[14]
A relaxed Hf2TaAlRu crystal. Source: Alexandria, functional GGA-PBEsol.

Output
Electronic total energy = -41.94 eV for the cell shown
DFT formation energy = 1176 meV per atom
Fermi-level density of states = 5.947 states/eV/f.u.
Total moment = 0.010 μB per cell

a b c (Å): 5.031 5.031 4.544
angles (deg): 90.00 90.00 90.00
Sites, in units of the cell vectors:
Hf 0.000 0.500 0.000
Hf 0.500 0.000 0.000
Ta 0.000 0.000 0.000
Al 0.500 0.500 0.500
Ru 0.000 0.000 0.500

[15]
A relaxed Hf2AlS crystal. Source: Alexandria, functional GGA-PBEsol.

Output
Polymorph energy (0 for the lowest one) = 509 meV per atom
Electronic total energy = -114.81 eV for the cell shown
Fermi-level density of states = 2.710 states/eV/f.u.
Total moment = 0.000 μB per cell
Formation energy (no corrections) = 0.19 eV per atom

a b c (Å): 5.265 5.265 14.125
angles (deg): 90.00 90.00 90.00
Sites, in units of the cell vectors:
Hf 0.196 0.250 0.125
Hf 0.250 0.696 0.375
Hf 0.250 0.804 0.875
Hf 0.304 0.250 0.625
Hf 0.696 0.750 0.625
Hf 0.750 0.196 0.875
Hf 0.750 0.304 0.375
Hf 0.804 0.750 0.125
Al 0.000 0.000 0.500
Al 0.000 0.500 0.750
Al 0.500 0.000 0.250
Al 0.500 0.500 0.000
S 0.000 0.000 0.000
S 0.000 0.500 0.250
S 0.500 0.000 0.750
S 0.500 0.500 0.500

[16]
A relaxed Hf2AlS crystal. Source: Alexandria, functional GGA-PBEsol.

Output
Polymorph energy (0 for the lowest one) = 0 meV per atom
Electronic total energy = -122.96 eV for the cell shown
Fermi-level density of states = 4.831 states/eV/f.u.
Total moment = 0.004 μB per cell
Formation energy (no corrections) = -0.31 eV per atom

a b c (Å): 6.559 6.559 6.559
angles (deg): 90.00 90.00 90.00
Sites, in units of the cell vectors:
Hf 0.250 0.250 0.250
Hf 0.250 0.250 0.750
Hf 0.250 0.750 0.250
Hf 0.250 0.750 0.750
Hf 0.750 0.250 0.250
Hf 0.750 0.250 0.750
Hf 0.750 0.750 0.250
Hf 0.750 0.750 0.750
Al 0.000 0.000 0.000
Al 0.000 0.500 0.500
Al 0.500 0.000 0.500
Al 0.500 0.500 0.000
S 0.000 0.000 0.500
S 0.000 0.500 0.000
S 0.500 0.000 0.000
S 0.500 0.500 0.500

[17]
A relaxed HfAl3Sb crystal. Source: Alexandria, functional GGA-PBEsol.

Output
Electronic total energy = -21.33 eV for the cell shown
Fermi-level density of states = 4.683 states/eV/f.u.
Total moment = 0.002 μB per cell
Formation energy (no corrections) = 1.20 eV per atom

a b c (Å): 5.069 5.069 5.069
angles (deg): 90.00 90.00 90.00
Sites, in units of the cell vectors:
Hf 0.000 0.000 0.000
Al 0.000 0.500 0.500
Al 0.500 0.000 0.500
Al 0.500 0.500 0.000
Sb 0.500 0.500 0.500

[18]
A relaxed Hf2ScAl2 crystal. Source: Alexandria, functional GGA-PBEsol.

Output
Electronic total energy = -74.49 eV for the cell shown
DFT formation energy = -290 meV per atom
Fermi-level density of states = 5.032 states/eV/f.u.
Total moment = 0.002 μB per cell

a b c (Å): 7.651 7.651 3.356
angles (deg): 90.00 90.00 90.00
Sites, in units of the cell vectors:
Hf 0.176 0.324 0.000
Hf 0.324 0.824 0.000
Hf 0.676 0.176 0.000
Hf 0.824 0.676 0.000
Sc 0.000 0.000 0.500
Sc 0.500 0.500 0.500
Al 0.121 0.621 0.500
Al 0.379 0.121 0.500
Al 0.621 0.879 0.500
Al 0.879 0.379 0.500

[19]
A relaxed Hf2AlSi crystal. Source: Alexandria, functional GGA-PBEsol.

Output
Electronic total energy = -66.88 eV for the cell shown
Fermi-level density of states = 2.085 states/eV/f.u.
Total moment = 0.000 μB per cell
Formation energy (no corrections) = -0.65 eV per atom

a b c (Å): 3.805 3.696 10.036
angles (deg): 90.00 90.00 90.00
Sites, in units of the cell vectors:
Hf 0.000 0.000 0.000
Hf 0.000 0.500 0.500
Hf 0.500 0.000 0.298
Hf 0.500 0.500 0.798
Al 0.000 0.000 0.726
Al 0.000 0.500 0.226
Si 0.500 0.000 0.570
Si 0.500 0.500 0.070

[20]
A relaxed SrHf2Al crystal. Source: Alexandria, functional GGA-PBEsol.

Output
Electronic total energy = -97.24 eV for the cell shown
DFT formation energy = 657 meV per atom
Fermi-level density of states = 5.104 states/eV/f.u.
Total moment = 0.008 μB per cell

a b c (Å): 4.321 4.321 21.085
angles (deg): 90.00 90.00 90.00
Sites, in units of the cell vectors:
Sr 0.000 0.000 0.000
Sr 0.000 0.500 0.250
Sr 0.500 0.000 0.750
Sr 0.500 0.500 0.500
Hf 0.227 0.750 0.625
Hf 0.250 0.227 0.375
Hf 0.250 0.273 0.875
Hf 0.273 0.750 0.125
Hf 0.727 0.250 0.125
Hf 0.750 0.727 0.875
Hf 0.750 0.773 0.375
Hf 0.773 0.250 0.625
Al 0.000 0.000 0.500
Al 0.000 0.500 0.750
Al 0.500 0.000 0.250
Al 0.500 0.500 0.000

[21]
A relaxed HfTaAl2 crystal. Source: Alexandria, functional GGA-PBEsol.

Output
Electronic total energy = -125.84 eV for the cell shown
DFT formation energy = -56 meV per atom
Fermi-level density of states = 2.966 states/eV/f.u.
Total moment = 0.001 μB per cell

a b c (Å): 6.499 6.499 6.499
angles (deg): 90.00 90.00 90.00
Sites, in units of the cell vectors:
Hf 0.000 0.000 0.000
Hf 0.000 0.500 0.500
Hf 0.500 0.000 0.500
Hf 0.500 0.500 0.000
Ta 0.000 0.000 0.500
Ta 0.000 0.500 0.000
Ta 0.500 0.000 0.000
Ta 0.500 0.500 0.500
Al 0.250 0.250 0.250
Al 0.250 0.250 0.750
Al 0.250 0.750 0.250
Al 0.250 0.750 0.750
Al 0.750 0.250 0.250
Al 0.750 0.250 0.750
Al 0.750 0.750 0.250
Al 0.750 0.750 0.750

[22]
A relaxed Tb4HfAl15 crystal. Source: Alexandria, functional GGA-PBEsol.

Output
Electronic total energy = -100.27 eV for the cell shown
DFT formation energy = -418 meV per atom
Fermi-level density of states = 5.699 states/eV/f.u.
Total moment = 0.000 μB per cell

a b c (Å): 12.406 12.406 12.406
angles (deg): 27.86 27.86 27.86
Sites, in units of the cell vectors:
Tb 0.100 0.100 0.100
Tb 0.368 0.368 0.368
Tb 0.632 0.632 0.632
Tb 0.900 0.900 0.900
Hf 0.500 0.500 0.500
Al 0.000 0.000 0.500
Al 0.000 0.500 0.000
Al 0.078 0.614 0.614
Al 0.135 0.135 0.630
Al 0.135 0.630 0.135
Al 0.370 0.865 0.865
Al 0.386 0.386 0.922
Al 0.386 0.922 0.386
Al 0.500 0.000 0.000
Al 0.614 0.078 0.614
Al 0.614 0.614 0.078
Al 0.630 0.135 0.135
Al 0.865 0.370 0.865
Al 0.865 0.865 0.370
Al 0.922 0.386 0.386

[23]
A relaxed Hf3AlTc crystal. Source: Alexandria, functional GGA-PBEsol.

Output
Electronic total energy = -44.06 eV for the cell shown
DFT formation energy = 561 meV per atom
Fermi-level density of states = 6.960 states/eV/f.u.
Total moment = 0.003 μB per cell

a b c (Å): 4.889 4.889 4.889
angles (deg): 90.00 90.00 90.00
Sites, in units of the cell vectors:
Hf 0.000 0.000 0.500
Hf 0.000 0.500 0.000
Hf 0.500 0.000 0.000
Al 0.500 0.500 0.500
Tc 0.000 0.000 0.000

[24]
A relaxed Hf3TiAl crystal. Source: Alexandria, functional GGA-PBEsol.

Output
Electronic total energy = -39.31 eV for the cell shown
DFT formation energy = 923 meV per atom
Fermi-level density of states = 7.485 states/eV/f.u.
Total moment = 0.001 μB per cell

a b c (Å): 4.807 4.807 4.807
angles (deg): 90.00 90.00 90.00
Sites, in units of the cell vectors:
Hf 0.000 0.000 0.500
Hf 0.000 0.500 0.000
Hf 0.500 0.000 0.000
Ti 0.000 0.000 0.000
Al 0.500 0.500 0.500